# BaCa3Pd | the Alexandria database | PBE-GGA | relaxed
# Distance to the lowest polymorph of the same formula: 665 meV/atom
# Formation energy: 354 meV/atom
# D(E_F): 1.298 states/eV per atom
# VASP energy: -2.270 eV per atom
data_BaCa3Pd
_chemical_formula_sum 'Ba2 Ca6 Pd2'
_symmetry_space_group_name_H-M 'P 1'
_symmetry_Int_Tables_number 1
_cell_length_a 5.7802
_cell_length_b 5.7802
_cell_length_c 15.3249
_cell_angle_alpha 79.13
_cell_angle_beta 79.13
_cell_angle_gamma 90.00
loop_
_symmetry_equiv_pos_as_xyz
'x,y,z'
loop_
_atom_site_label
_atom_site_type_symbol
_atom_site_fract_x
_atom_site_fract_y
_atom_site_fract_z
Ca1 Ca 0.6326 0.8750 0.2499
Ca2 Ca 0.1250 0.3674 0.7501
Ca3 Ca 0.1250 0.8826 0.7501
Ca4 Ca 0.1174 0.8750 0.2499
Ca5 Ca 0.4354 0.4354 0.1292
Ca6 Ca 0.5646 0.5646 0.8708
Ba1 Ba 0.0000 0.0000 0.0000
Ba2 Ba 0.2500 0.7500 0.5000
Pd1 Pd 0.5875 0.0875 0.8250
Pd2 Pd 0.9125 0.4125 0.1750